[1]
# Er5Rh2O12 PBE-GGA relaxed
# Calculated volume in Å³ per cell: 497
# Raw formation energy in kJ/mol of atoms: -254.1
data_Er5Rh2O12
_cell_length_a 12.248
_cell_length_b 5.889
_cell_length_c 7.212
_cell_angle_alpha 90.00
_cell_angle_beta 107.23
_cell_angle_gamma 90.00
_space_group_name_H-M_alt 'C 1 2/m 1'
_space_group_IT_number 12
loop_
_space_group_symop_operation_xyz
'x,y,z'
'-x,-y,-z'
'-x,y,-z'
'x,-y,z'
'x+1/2,y+1/2,z'
'-x+1/2,-y+1/2,-z'
'-x+1/2,y+1/2,-z'
'x+1/2,-y+1/2,z'
loop_
_atom_site_label
_atom_site_type_symbol
_atom_site_fract_x
_atom_site_fract_y
_atom_site_fract_z
Er1 Er 0.000 0.000 0.000
Er2 Er 0.190 0.500 0.328
Er3 Er 0.198 0.500 0.861
Rh1 Rh 0.000 0.247 0.500
O1 O 0.000 0.000 0.315
O2 O 0.000 0.500 0.307
O3 O 0.152 0.249 0.073
O4 O 0.168 0.265 0.586

[2]
# MgCdHgSb PBE-GGA relaxed
# Calculated volume in Å³ per cell: 397
# Raw formation energy in kJ/mol of atoms: -3.9
data_MgCdHgSb
_cell_length_a 7.351
_cell_length_b 7.351
_cell_length_c 7.351
_cell_angle_alpha 90.00
_cell_angle_beta 90.00
_cell_angle_gamma 90.00
_space_group_name_H-M_alt 'F -4 3 m'
_space_group_IT_number 216
_space_group_name_Hall 'F -4 2 3'
loop_
_atom_site_label
_atom_site_type_symbol
_atom_site_fract_x
_atom_site_fract_y
_atom_site_fract_z
Mg1 Mg 0.000 0.000 0.000
Cd1 Cd 0.000 0.000 0.500
Hg1 Hg 0.250 0.250 0.250
Sb1 Sb 0.250 0.250 0.750